Compound: TmZrSnPd
Source: the Alexandria database
Functional: PBE
Structure: optimized geometry

```
TmZrSnPd
1.0
0.0000 3.5292 3.5292
3.5292 0.0000 3.5292
3.5292 3.5292 0.0000
Tm Zr Sn Pd
1 1 1 1
Direct
0.0000 0.0000 0.0000
0.5000 0.5000 0.5000
0.2500 0.2500 0.2500
0.7500 0.7500 0.7500
```

Values from the calculation:
ΔE_f: -0.559 eV/atom
space group: F-43m (216)
size of the total moment: 1.2 μB/f.u.



Compound: USn2Pd
Source: the Alexandria database
Functional: PBE
Structure: optimized geometry

```
USn2Pd
1.0
2.5862 1.4931 3.9621
-2.5862 1.4931 3.9621
0.0000 -2.9863 3.9621
U Sn Pd
1 2 1
Direct
0.0000 0.0000 0.0000
0.2573 0.2573 0.2573
0.7427 0.7427 0.7427
0.5000 0.5000 0.5000
```

Values from the calculation:
ΔE_f: -0.026 eV/atom
space group: R-3m (166)
size of the total moment: 2.8 μB/f.u.



Compound: USnPd5
Source: the Alexandria database
Functional: PBE
Structure: optimized geometry

```
USnPd5
1.0
3.3581 -4.5192 0.0000
3.3581 4.5192 0.0000
-2.4396 0.0000 8.5603
U Sn Pd
2 2 10
Direct
0.1230 0.8770 0.7500
0.8770 0.1230 0.2500
0.5000 0.5000 0.0000
0.5000 0.5000 0.5000
0.0032 0.7501 0.0147
0.1636 0.3931 0.7002
0.2499 0.9968 0.4853
0.3345 0.6655 0.2500
0.3931 0.1636 0.2002
0.6069 0.8364 0.7998
0.6655 0.3345 0.7500
0.7501 0.0032 0.5147
0.8364 0.6069 0.2998
0.9968 0.2499 0.9853
```

Values from the calculation:
ΔE_f: -0.359 eV/atom
space group: C2/c (15)
size of the total moment: 1.9 μB/f.u.



Question: ΔE_f of number 2 (USn2Pd)?
Answer: -0.026 eV/atom



Question: Among the records above, which one has the highest size of the total moment?
Answer: USn2Pd



Question: Number 1 is which compound?
Answer: TmZrSnPd